DFT (PBE-GGA) results for Sm8HgPd2 after structural relaxation.

a b c (Å): 5.2435 6.9605 9.6391
angles (deg): 108.08 105.78 90.00
With the nearest neighbours (Å) after each atom.
Fractional positions:
1 Hg 0.5000 0.0000 0.0000  8 Sm 3.19-3.27
2 Sm 0.8000 0.6586 0.6000  1 Pd 2.91
3 Sm 0.5946 0.4778 0.1893  1 Hg 3.22, 2 Pd 3.23, 6 Sm 3.47-3.61
4 Sm 0.3234 0.9979 0.6468  1 Pd 2.82
5 Sm 0.0299 0.7767 0.0598  1 Pd 2.77
6 Sm 0.9701 0.2233 0.9402  1 Pd 2.77
7 Sm 0.6766 0.0021 0.3532  1 Pd 2.82
8 Sm 0.4054 0.5222 0.8107  1 Hg 3.22, 2 Pd 3.23, 6 Sm 3.47-3.61
9 Sm 0.2000 0.3414 0.4000  1 Pd 2.91
10 Pd 0.8273 0.2699 0.6545  3 Sm 2.77-2.91
11 Pd 0.1727 0.7301 0.3455  3 Sm 2.77-2.91

Output
DFT total energy: -4.77 eV/atom
energy relative to the lowest polymorph listed for this composition: 0.000 eV/atom
calculated formation energy: -0.364 eV/atom
magnetization: 0.0 μB per cell